1.
# HfBPRhCl PBE relaxed
data_HfBPRhCl
_cell_length_a 3.193
_cell_length_b 4.177
_cell_length_c 8.021
_cell_angle_alpha 79.33
_cell_angle_beta 89.15
_cell_angle_gamma 89.40
_space_group_name_H-M_alt 'P 1'
_space_group_IT_number 1
loop_
_space_group_symop_operation_xyz
'x,y,z'
loop_
_atom_site_label
_atom_site_fract_x
_atom_site_fract_y
_atom_site_fract_z
_atom_site_occupancy
B1 0.638 0.616 0.091 1
P1 0.137 0.817 0.990 1
Hf1 0.134 0.531 0.323 1
Rh1 0.660 0.093 0.184 1
Cl1 0.625 0.462 0.572 1
# Energy relative to the elements, uncorrected (eV per atom): -0.64
# Density of states at the Fermi level (states/eV/cell): 0.7

---

2.
# LaZrCd2 PBE relaxed
data_LaZrCd2
_cell_length_a 10.511
_cell_length_b 10.511
_cell_length_c 10.511
_cell_angle_alpha 18.84
_cell_angle_beta 18.84
_cell_angle_gamma 18.84
_space_group_name_H-M_alt 'P 1'
_space_group_IT_number 1
loop_
_space_group_symop_operation_xyz
'x,y,z'
loop_
_atom_site_label
_atom_site_fract_x
_atom_site_fract_y
_atom_site_fract_z
_atom_site_occupancy
Cd1 0.000 0.000 0.000 1
Cd2 0.257 0.257 0.257 1
La1 0.498 0.498 0.498 1
Zr1 0.745 0.745 0.745 1
# Density of states at the Fermi level (states/eV/cell): 4.5
# E (eV/atom): -3.76

---

3.
# MgBeHPd2 PBE relaxed
data_MgBeHPd2
_cell_length_a 4.856
_cell_length_b 3.074
_cell_length_c 4.856
_cell_angle_alpha 90.00
_cell_angle_beta 90.00
_cell_angle_gamma 90.00
_space_group_name_H-M_alt 'P 1'
_space_group_IT_number 1
loop_
_space_group_symop_operation_xyz
'x,y,z'
loop_
_atom_site_label
_atom_site_fract_x
_atom_site_fract_y
_atom_site_fract_z
_atom_site_occupancy
Mg1 0.000 0.000 0.000 1
Pd1 0.500 0.000 0.000 1
Pd2 0.000 0.000 0.500 1
H1 0.000 0.500 0.000 1
Be1 0.500 0.500 0.500 1
# Density of states at the Fermi level (states/eV/cell): 1.9
# E (eV/atom): -3.25

---

4.
# ScTl2NiAu PBE relaxed
data_ScTl2NiAu
_cell_length_a 4.962
_cell_length_b 4.827
_cell_length_c 4.962
_cell_angle_alpha 90.00
_cell_angle_beta 90.00
_cell_angle_gamma 90.00
_space_group_name_H-M_alt 'P 1'
_space_group_IT_number 1
loop_
_space_group_symop_operation_xyz
'x,y,z'
loop_
_atom_site_label
_atom_site_fract_x
_atom_site_fract_y
_atom_site_fract_z
_atom_site_occupancy
Ni1 0.000 0.000 0.000 1
Tl1 0.000 0.000 0.500 1
Tl2 0.500 0.000 0.000 1
Sc1 0.000 0.500 0.000 1
Au1 0.500 0.500 0.500 1
# Density of states at the Fermi level (states/eV/cell): 3.8
# E (eV/atom): -3.97

---

5.
# Al3OsRu2 PBE relaxed
data_Al3OsRu2
_cell_length_a 3.004
_cell_length_b 3.004
_cell_length_c 9.057
_cell_angle_alpha 90.00
_cell_angle_beta 90.00
_cell_angle_gamma 90.00
_space_group_name_H-M_alt 'P 1'
_space_group_IT_number 1
loop_
_space_group_symop_operation_xyz
'x,y,z'
loop_
_atom_site_label
_atom_site_fract_x
_atom_site_fract_y
_atom_site_fract_z
_atom_site_occupancy
Al1 0.000 0.000 0.669 1
Al2 0.000 0.000 0.331 1
Al3 0.000 0.000 0.000 1
Ru1 0.500 0.500 0.834 1
Ru2 0.500 0.500 0.166 1
Os1 0.500 0.500 0.500 1
# Density of states at the Fermi level (states/eV/cell): 6.3
# E (eV/atom): -7.40

---

6.
# ZrGa3Pd2 PBE relaxed
data_ZrGa3Pd2
_cell_length_a 3.970
_cell_length_b 8.120
_cell_length_c 7.916
_cell_angle_alpha 120.80
_cell_angle_beta 104.52
_cell_angle_gamma 90.00
_space_group_name_H-M_alt 'P 1'
_space_group_IT_number 1
loop_
_space_group_symop_operation_xyz
'x,y,z'
loop_
_atom_site_label
_atom_site_fract_x
_atom_site_fract_y
_atom_site_fract_z
_atom_site_occupancy
Ga1 0.322 0.535 0.644 1
Ga2 0.678 0.465 0.356 1
Ga3 0.999 0.651 0.998 1
Ga4 0.322 0.109 0.645 1
Ga5 0.001 0.349 0.002 1
Ga6 0.678 0.891 0.355 1
Pd1 0.800 0.299 0.600 1
Pd2 0.500 0.162 0.001 1
Pd3 0.500 0.838 0.999 1
Pd4 0.200 0.701 0.400 1
Zr1 0.129 0.129 0.259 1
Zr2 0.871 0.871 0.741 1
# Density of states at the Fermi level (states/eV/cell): 5.1
# E (eV/atom): -5.22

---

7.
# KMnI4 PBE relaxed
data_KMnI4
_cell_length_a 9.079
_cell_length_b 7.615
_cell_length_c 8.975
_cell_angle_alpha 105.47
_cell_angle_beta 111.94
_cell_angle_gamma 108.14
_space_group_name_H-M_alt 'P 1'
_space_group_IT_number 1
loop_
_space_group_symop_operation_xyz
'x,y,z'
loop_
_atom_site_label
_atom_site_fract_x
_atom_site_fract_y
_atom_site_fract_z
_atom_site_occupancy
Mn1 0.924 0.174 0.348 1
Mn2 0.076 0.826 0.652 1
I1 0.368 0.167 0.909 1
I2 0.142 0.918 0.401 1
I3 0.632 0.833 0.091 1
I4 0.241 0.517 0.599 1
I5 0.959 0.258 0.091 1
I6 0.759 0.483 0.401 1
I7 0.041 0.742 0.909 1
I8 0.858 0.082 0.599 1
K1 0.612 0.362 0.725 1
K2 0.388 0.638 0.275 1
# Energy relative to the elements, uncorrected (eV per atom): -0.66
# Density of states at the Fermi level (states/eV/cell): 2.1

---

8.
# Li3PrTm2Te6 PBE relaxed
data_Li3PrTm2Te6
_cell_length_a 7.564
_cell_length_b 7.564
_cell_length_c 7.502
_cell_angle_alpha 99.70
_cell_angle_beta 99.70
_cell_angle_gamma 120.00
_space_group_name_H-M_alt 'P 1'
_space_group_IT_number 1
loop_
_space_group_symop_operation_xyz
'x,y,z'
loop_
_atom_site_label
_atom_site_fract_x
_atom_site_fract_y
_atom_site_fract_z
_atom_site_occupancy
Tm1 0.667 0.333 0.000 1
Tm2 0.333 0.667 0.000 1
Li1 0.500 0.500 0.500 1
Li2 0.836 0.164 0.500 1
Li3 0.164 0.836 0.500 1
Te1 0.740 0.740 0.257 1
Te2 0.569 0.914 0.744 1
Te3 0.431 0.086 0.256 1
Te4 0.260 0.260 0.743 1
Te5 0.914 0.569 0.744 1
Te6 0.086 0.431 0.256 1
Pr1 0.000 0.000 0.000 1
# Energy relative to the elements, uncorrected (eV per atom): -1.28